1.
First-principles (GGA-PBE) data for a relaxed structure of BaInTeSe2, as listed in Alexandria via LeMat-Bulk.

Cell lengths 6.0524, 6.0524, 7.4479 Å; angles 90.00, 90.00, 90.00 degrees
Last column: nearest neighbours and their distance in Å.
Atoms (fractional coordinates):
Ba: 0.0000 0.0000 0.0000  4 Se 3.03
In: 0.0000 0.0000 0.5000  2 Ba 3.72
Te: 0.5000 0.5000 0.5000  4 In 4.28
Se: 0.0000 0.5000 0.0000  2 Ba 3.03
Se: 0.5000 0.0000 0.0000  2 Ba 3.03

Properties
**Density of states at the Fermi level**: 6.040 states/eV/f.u.
**Calculated volume**: 272.8 Å³/cell
**M_tot**: 3.0 μB per cell
**Space-group type**: P4/mmm (123)


2.
First-principles (GGA-PBE) data for a relaxed structure of Mg7C, as listed in Alexandria via LeMat-Bulk.

Cell lengths 6.3009, 6.3009, 4.6124 Å; angles 90.00, 90.00, 120.00 degrees
Last column: nearest neighbours and their distance in Å.
Atoms (fractional coordinates):
Mg: 0.0000 0.0000 0.0000  12 Mg 2.94-3.15
Mg: 0.1670 0.3339 0.5000  10 Mg 2.94-3.16, 2 C 3.15
Mg: 0.1670 0.8330 0.5000  10 Mg 2.94-3.16, 2 C 3.15
Mg: 0.5132 0.0264 0.0000  2 C 2.85, 8 Mg 2.90-3.15
Mg: 0.5132 0.4868 0.0000  2 C 2.85, 8 Mg 2.90-3.15
Mg: 0.6661 0.8330 0.5000  10 Mg 2.94-3.16, 2 C 3.15
Mg: 0.9736 0.4868 0.0000  2 C 2.85, 8 Mg 2.90-3.15
C: 0.6667 0.3333 0.5000  12 Mg 2.85-3.15

Properties
**Density of states at the Fermi level**: 2.497 states/eV/f.u.
**Calculated volume**: 158.6 Å³/cell
**M_tot**: 0.0 μB per cell
**E_form**: 52 kJ/mol of atoms
**Space-group type**: P-6m2 (187)


no.,final energy (eV per atom)
1,-2.658
2,-2.005